Record 1
{
  "formula": "Hf2Zr4Te9",
  "functional": "PBE-GGA",
  "state": "optimized geometry",
  "magmom_total_mub_per_fu": 0.0,
  "formation_energy_uncorrected_ev_per_atom": -0.789,
  "n_ef_per_ev_cell": 19.571,
  "cell": [[7.1335, 0.0008, 0.0161], [3.5659, 6.1768, 0.0421], [-0.0453, -0.1072, 20.0352]],
  "species": ["Hf", "Hf", "Hf", "Hf", "Te", "Te", "Te", "Te", "Te", "Te", "Te", "Te", "Te", "Te", "Te", "Te", "Te", "Te", "Te", "Te", "Te", "Te", "Zr", "Zr", "Zr", "Zr", "Zr", "Zr", "Zr", "Zr"],
  "fractional_positions": [[0.0002, 0.9999, 0.6709], [0.9998, 0.0001, 0.3291], [0.0000, 0.9999, 0.1709], [0.0000, 0.0001, 0.8291], [0.6606, 0.0000, 0.7500], [0.3396, 0.6604, 0.7501], [0.3394, 0.0000, 0.2500], [0.6604, 0.3396, 0.2499], [0.3200, 0.0102, 0.9163], [0.6803, 0.3298, 0.5836], [0.6703, 0.3197, 0.9165], [0.0100, 0.3197, 0.4165], [0.3297, 0.6803, 0.0835], [0.9999, 0.6604, 0.2500], [0.6800, 0.9898, 0.0837], [0.9900, 0.6803, 0.5835], [0.0101, 0.6702, 0.9165], [0.3302, 0.9898, 0.5837], [0.3197, 0.6702, 0.4164], [0.9899, 0.3298, 0.0835], [0.6698, 0.0102, 0.4163], [0.0001, 0.3396, 0.7500], [0.3334, 0.3335, 0.6615], [0.6667, 0.6667, 0.4955], [0.6666, 0.6665, 0.3385], [0.3334, 0.3333, 0.0045], [0.3333, 0.3333, 0.5045], [0.6669, 0.6665, 0.8385], [0.6666, 0.6667, 0.9955], [0.3331, 0.3335, 0.1615]]
}



Record 2
{
  "formula": "Ca2Dy",
  "functional": "PBE-GGA",
  "state": "optimized geometry",
  "magmom_total_mub_per_fu": 1.0,
  "n_ef_per_ev_cell": 4.863,
  "formation_energy_ev_per_atom": 0.120,
  "de_polymorph_ev_per_atom": 0.000,
  "cell": [[-1.4576, 2.9953, 1.6975], [-3.0882, -0.3226, -2.0826], [-1.0400, -6.1554, 5.8514]],
  "species": ["Ca", "Ca", "Dy"],
  "fractional_positions": [[0.6596, 0.6596, 0.3192], [0.3404, 0.3404, 0.6808], [0.0000, 0.0000, 0.0000]]
}



Number 1: V 882.8 Å³ per cell. Number 2: V 113.7 Å³ per cell.